MgNb3C | PBE-GGA | optimized geometry

a b c (Å): 4.679 4.679 4.679
angles (deg): 90.00 90.00 90.00
Fractional positions:
1 Nb 0.000 0.000 0.500
2 Nb 0.500 0.000 0.000
3 Nb 0.000 0.500 0.000
4 Mg 0.000 0.000 0.000
5 C 0.500 0.500 0.500

Properties
ΔE_f   2.904 eV per atom
Offset from the most stable computed form   2941.7 meV per atom